Entry a
PBE-GGA NpNb2Mo, optimized geometry; space-group type = Fm-3m, No. 225
1.0
4.6958 0.0000 0.0000
2.3479 4.0667 0.0000
2.3479 1.3556 3.8341
Mo Nb Np
1 2 1
direct
0.0000 0.0000 0.0000
0.2500 0.2500 0.2500
0.7500 0.7500 0.7500
0.5000 0.5000 0.5000

Entry b
PBE-GGA NpNb2Mo, optimized geometry; space-group type = P4/mmm, No. 123
1.0
-0.6493 -3.0730 -0.7391
2.8106 -0.9065 1.3001
-3.2174 -0.8504 6.3623
Nb Np Mo
2 1 1
direct
0.0000 0.0000 0.2245
0.0000 0.0000 0.7755
0.5000 0.5000 0.5000
0.5000 0.5000 0.0000

Entry c
PBE-GGA NpNb2Mo, optimized geometry; space-group type = R-3m, No. 166
1.0
3.0914 0.0000 0.0000
1.5457 2.6772 0.0000
1.5457 0.8924 9.1574
Mo Nb Np
1 2 1
direct
0.5000 0.5000 0.5000
0.2416 0.2416 0.2751
0.7584 0.7584 0.7249
0.0000 0.0000 0.0000

Entry d
PBE-GGA NpNb2Mo, optimized geometry; space-group type = P4/mmm, No. 123
1.0
3.1932 0.0000 0.0000
0.0000 4.7981 0.0000
0.0000 0.0000 4.7981
Np Mo Nb
1 1 2
direct
0.5000 0.5000 0.5000
0.5000 0.0000 0.0000
0.0000 0.5000 0.0000
0.0000 0.0000 0.5000

Of them, the most stable is entry b and the least stable is entry c.

Entry a
PBE-GGA NpNbMo, optimized geometry; space-group type = I4mm, No. 107
1.0
3.2647 0.0000 0.0000
0.0000 3.2647 0.0000
-1.6324 -1.6324 5.3260
Nb Np Mo
1 1 1
direct
0.9630 0.9630 0.9259
0.2777 0.2777 0.5555
0.6093 0.6093 0.2186

Entry b
PBE-GGA NpNbMo, optimized geometry; space-group type = I4/mmm, No. 139
1.0
3.2166 0.0000 0.0000
0.0000 3.2166 0.0000
-1.6083 -1.6083 10.8236
Nb Np Mo
2 2 2
direct
0.9365 0.9365 0.8730
0.0635 0.0635 0.1270
0.7799 0.7799 0.5598
0.2201 0.2201 0.4402
0.3659 0.3659 0.7317
0.6341 0.6341 0.2683

Of them, the most stable is entry a and the least stable is entry b.